The following is a GGA+U calculation of Na3Mn3O8 after structural relaxation, from Alexandria.

abc: 8.7938 8.7938 8.7938
angles: 90.00 90.00 90.00
Sites, in units of the cell vectors:
Na (0.0162, 0.0162, 0.0162)
Na (0.1250, 0.8750, 0.3750)
Na (0.2338, 0.2338, 0.2338)
Na (0.2662, 0.7662, 0.7338)
Na (0.3750, 0.1250, 0.8750)
Na (0.4838, 0.9838, 0.5162)
Na (0.5162, 0.4838, 0.9838)
Na (0.6250, 0.6250, 0.6250)
Na (0.7338, 0.2662, 0.7662)
Na (0.7662, 0.7338, 0.2662)
Na (0.8750, 0.3750, 0.1250)
Na (0.9838, 0.5162, 0.4838)
Mn (0.1013, 0.1487, 0.6250)
Mn (0.1250, 0.3987, 0.8513)
Mn (0.1487, 0.6250, 0.1013)
Mn (0.3513, 0.3750, 0.6013)
Mn (0.3750, 0.6013, 0.3513)
Mn (0.3987, 0.8513, 0.1250)
Mn (0.6013, 0.3513, 0.3750)
Mn (0.6250, 0.1013, 0.1487)
Mn (0.6487, 0.8750, 0.8987)
Mn (0.8513, 0.1250, 0.3987)
Mn (0.8750, 0.8987, 0.6487)
Mn (0.8987, 0.6487, 0.8750)
O (0.0660, 0.1418, 0.4076)
O (0.0924, 0.9340, 0.6418)
O (0.1082, 0.1840, 0.8424)
O (0.1227, 0.6227, 0.8773)
O (0.1273, 0.3727, 0.6273)
O (0.1418, 0.4076, 0.0660)
O (0.1576, 0.6082, 0.3160)
O (0.1840, 0.8424, 0.1082)
O (0.3160, 0.1576, 0.6082)
O (0.3424, 0.3918, 0.8160)
O (0.3582, 0.5924, 0.5660)
O (0.3727, 0.6273, 0.1273)
O (0.3773, 0.3773, 0.3773)
O (0.3918, 0.8160, 0.3424)
O (0.4076, 0.0660, 0.1418)
O (0.4340, 0.8582, 0.9076)
O (0.5660, 0.3582, 0.5924)
O (0.5924, 0.5660, 0.3582)
O (0.6082, 0.3160, 0.1576)
O (0.6227, 0.8773, 0.1227)
O (0.6273, 0.1273, 0.3727)
O (0.6418, 0.0924, 0.9340)
O (0.6576, 0.8918, 0.6840)
O (0.6840, 0.6576, 0.8918)
O (0.8160, 0.3424, 0.3918)
O (0.8424, 0.1082, 0.1840)
O (0.8582, 0.9076, 0.4340)
O (0.8727, 0.8727, 0.8727)
O (0.8773, 0.1227, 0.6227)
O (0.8918, 0.6840, 0.6576)
O (0.9076, 0.4340, 0.8582)
O (0.9340, 0.6418, 0.0924)

Values from the calculation:
The calculation puts the uncorrected energy at -86.2 eV/f.u.